## Er3Ga3Au2 (PBE-GGA)

Data for crystalline Er3Ga3Au2 at its relaxed geometry.

N(E_F)	0.449	states/eV/atom

Lattice parameters (Å, degrees): 4.4106 10.5780 14.5741 90.00 90.00 90.00
Space group Cmcm (No. 63)
Unique sites:
Er (0.0000, 0.0891, 0.1099) [8 per cell]
Er (0.0000, 0.3583, 0.2500) [4 per cell]
Ga (0.0000, 0.3578, 0.7500) [4 per cell]
Ga (0.0000, 0.3884, 0.0362) [8 per cell]
Au (0.0000, 0.2014, 0.6053) [8 per cell]

=====

## ErGa4Au12 (PBE-GGA)

Data for crystalline ErGa4Au12 at its relaxed geometry.

N(E_F)	0.346	states/eV/atom

Lattice parameters (Å, degrees): 8.9670 8.9670 8.9670 90.00 90.00 90.00
Space group Im-3 (No. 204)
Unique sites:
Er (0.0000, 0.0000, 0.0000) [2 per cell]
Ga (0.2500, 0.2500, 0.2500) [8 per cell]
Au (0.0000, 0.3414, 0.1534) [24 per cell]

=====

## ErGa3Au2 (PBE-GGA)

Data for crystalline ErGa3Au2 at its relaxed geometry.

N(E_F)	0.234	states/eV/atom

Lattice parameters (Å, degrees): 6.0789 6.2058 6.3850 90.00 97.96 90.00
Space group P2_1/m (No. 11)
Unique sites:
Er (0.1508, 0.2500, 0.1324) [2 per cell]
Ga (0.0752, 0.7500, 0.3736) [2 per cell]
Ga (0.3643, 0.7500, 0.0917) [2 per cell]
Ga (0.4903, 0.2500, 0.4997) [2 per cell]
Au (0.2553, 0.5074, 0.7564) [4 per cell]

=====

## Er5Ga2Au (PBE-GGA)

Data for crystalline Er5Ga2Au at its relaxed geometry.

N(E_F)	0.685	states/eV/atom

Lattice parameters (Å, degrees): 7.4066 7.4066 14.5741 90.00 90.00 90.00
Space group I4/mcm (No. 140)
Unique sites:
Er (0.0000, 0.0000, 0.0000) [4 per cell]
Er (0.1705, 0.3295, 0.1476) [16 per cell]
Ga (0.1223, 0.3777, 0.5000) [8 per cell]
Au (0.0000, 0.0000, 0.2500) [4 per cell]

=====

## Er2GaAu (PBE-GGA)

Data for crystalline Er2GaAu at its relaxed geometry.

N(E_F)	0.404	states/eV/atom

Lattice parameters (Å, degrees): 5.8517 4.4384 7.6856 90.00 109.81 90.00
Space group P2_1/m (No. 11)
Unique sites:
Er (0.2107, 0.2500, 0.4331) [2 per cell]
Er (0.2208, 0.2500, 0.9201) [2 per cell]
Ga (0.3240, 0.7500, 0.2068) [2 per cell]
Au (0.3458, 0.7500, 0.7077) [2 per cell]

=====

## Er3Ga7Au2 (PBE-GGA)

Data for crystalline Er3Ga7Au2 at its relaxed geometry.

N(E_F)	0.386	states/eV/atom

Lattice parameters (Å, degrees): 4.2171 4.1856 13.7314 90.00 98.77 90.00
Space group P2/m (No. 10)
Unique sites:
Er (0.0000, 0.0000, 0.0000) [1 per cell]
Er (0.3156, 0.5000, 0.6306) [2 per cell]
Ga (0.0812, 0.5000, 0.1579) [2 per cell]
Ga (0.2277, 0.0000, 0.4551) [2 per cell]
Ga (0.4212, 0.0000, 0.8416) [2 per cell]
Ga (0.5000, 0.5000, 0.0000) [1 per cell]
Au (0.1340, 0.0000, 0.2720) [2 per cell]

=====

## Er6Ga2Au (PBE-GGA)

Data for crystalline Er6Ga2Au at its relaxed geometry.

energy above the most stable polymorph in this dataset	0	meV/atom
N(E_F)	0.597	states/eV/atom

Lattice parameters (Å, degrees): 9.5150 9.5207 10.1952 90.00 90.00 90.00
Space group Immm (No. 71)
Unique sites:
Er (0.0000, 0.2062, 0.1740) [8 per cell]
Er (0.1786, 0.2296, 0.5000) [8 per cell]
Er (0.1941, 0.5000, 0.2492) [8 per cell]
Ga (0.0000, 0.0000, 0.3769) [4 per cell]
Ga (0.1460, 0.0000, 0.0000) [4 per cell]
Au (0.0000, 0.5000, 0.0000) [2 per cell]
Au (0.0000, 0.5000, 0.5000) [2 per cell]

=====

## Er4Ga5Au2 (PBE-GGA)

Data for crystalline Er4Ga5Au2 at its relaxed geometry.

N(E_F)	0.499	states/eV/atom

Lattice parameters (Å, degrees): 7.6387 3.5209 9.0119 90.00 92.47 90.00
Space group P2/m (No. 10)
Unique sites:
Er (0.2328, 0.0000, 0.1355) [2 per cell]
Er (0.2439, 0.0000, 0.6247) [2 per cell]
Ga (0.1117, 0.5000, 0.8843) [2 per cell]
Ga (0.4340, 0.5000, 0.3626) [2 per cell]
Ga (0.5000, 0.5000, 0.0000) [1 per cell]
Au (0.0864, 0.5000, 0.3679) [2 per cell]

=====

## ErGaGeAu (PBE-GGA)

Data for crystalline ErGaGeAu at its relaxed geometry.

N(E_F)	0.808	states/eV/atom

Lattice parameters (Å, degrees): 6.8648 6.8648 6.8648 90.00 90.00 90.00
Space group F-43m (No. 216)
Unique sites:
Er (0.0000, 0.0000, 0.0000) [4 per cell]
Ga (0.0000, 0.0000, 0.5000) [4 per cell]
Ge (0.2500, 0.2500, 0.2500) [4 per cell]
Au (0.2500, 0.2500, 0.7500) [4 per cell]

=====

## Er4GaHg2Au (PBE-GGA)

Data for crystalline Er4GaHg2Au at its relaxed geometry.

N(E_F)	0.645	states/eV/atom

Lattice parameters (Å, degrees): 5.1394 5.1394 25.0796 90.00 90.00 120.00
Space group R-3m (No. 166, hexagonal axes)
Unique sites:
Er (0.0000, 0.0000, 0.1242) [6 per cell]
Er (0.0000, 0.0000, 0.3744) [6 per cell]
Ga (0.0000, 0.0000, 0.5000) [3 per cell]
Hg (0.0000, 0.0000, 0.2483) [6 per cell]
Au (0.0000, 0.0000, 0.0000) [3 per cell]

=====

## ErGaHgAu (PBE-GGA)

Data for crystalline ErGaHgAu at its relaxed geometry.

N(E_F)	0.447	states/eV/atom

Lattice parameters (Å, degrees): 6.9613 6.9613 6.9613 90.00 90.00 90.00
Space group F-43m (No. 216)
Unique sites:
Er (0.0000, 0.0000, 0.0000) [4 per cell]
Ga (0.0000, 0.0000, 0.5000) [4 per cell]
Hg (0.2500, 0.2500, 0.7500) [4 per cell]
Au (0.2500, 0.2500, 0.2500) [4 per cell]

=====

## Er2Ga4Ir3Au (PBE-GGA)

Data for crystalline Er2Ga4Ir3Au at its relaxed geometry.

N(E_F)	0.406	states/eV/atom

Lattice parameters (Å, degrees): 4.0587 4.0587 11.1845 90.00 90.00 90.00
Space group P-4m2 (No. 115)
Unique sites:
Er (0.0000, 0.5000, 0.2376) [2 per cell]
Ga (0.0000, 0.0000, 0.0000) [1 per cell]
Ga (0.0000, 0.5000, 0.6391) [2 per cell]
Ga (0.5000, 0.5000, 0.0000) [1 per cell]
Ir (0.0000, 0.5000, 0.8594) [2 per cell]
Ir (0.5000, 0.5000, 0.5000) [1 per cell]
Au (0.0000, 0.0000, 0.5000) [1 per cell]

=====

It is found that the energy of formation values, taken in the order of the records, are -0.756, -0.056, -0.398, -0.560, -0.737, -0.554, -0.483, -0.606, -0.400, -0.590, -0.481, -0.651 eV per atom.
It is found that the M_tot values, taken in the order of the records, are 0.000, 0.000, 0.000, 0.000, 0.000, 0.000, 0.000, 0.000, 0.000, 0.000, 0.000, 0.000 μB/f.u..